# 1
CaIr2Br (GGA-PBE, relaxed); relative energy among the computed polymorphs = 692.5 meV per atom; space group = I-42d, No. 122
1.0
-2.4570 2.4570 8.2475
2.4570 -2.4570 8.2475
2.4570 2.4570 -8.2475
Ca Ir Br
2 4 2
Direct
0.0000 0.0000 0.0000 Ca
0.7500 0.2500 0.5000 Ca
0.2960 0.6250 0.1710 Ir
0.3750 0.5460 0.6710 Ir
0.4540 0.1250 0.8290 Ir
0.8750 0.7040 0.3290 Ir
0.2500 0.7500 0.5000 Br
0.5000 0.5000 0.0000 Br

---

# 2
LiZrAl2 (GGA-PBE, relaxed); formation energy from the elements = -0.18 eV per atom; space group = Fmmm, No. 69
1.0
0.0000 3.0364 3.8883
3.0245 0.0000 3.8883
3.0245 3.0364 0.0000
Li Zr Al
1 1 2
Direct
0.0000 0.0000 0.0000 Li
0.5000 0.5000 0.5000 Zr
0.2500 0.2500 0.2500 Al
0.7500 0.7500 0.7500 Al

---

# 3
GaRu2Se (GGA-PBE, relaxed); total DFT energy (no corrections) = -5.83 eV/atom; space group = I-42d, No. 122
1.0
-2.8261 2.8261 5.3004
2.8261 -2.8261 5.3004
2.8261 2.8261 -5.3004
Ga Ru Se
2 4 2
Direct
0.0000 0.0000 0.0000 Ga
0.7500 0.2500 0.5000 Ga
0.1394 0.6250 0.0144 Ru
0.3750 0.3894 0.5144 Ru
0.6106 0.1250 0.9856 Ru
0.8750 0.8606 0.4856 Ru
0.2500 0.7500 0.5000 Se
0.5000 0.5000 0.0000 Se

---

# 4
MgAsRu (GGA-PBE, relaxed); formation energy from the elements = -0.32 eV per atom; space group = P-1, No. 2
1.0
3.1381 0.0000 0.0000
1.5628 5.5059 0.0000
0.0156 2.3614 6.2176
Mg As Ru
2 2 2
Direct
0.0798 0.3380 0.2637 Mg
0.9202 0.6620 0.7363 Mg
0.1720 0.1584 0.7055 As
0.8280 0.8416 0.2945 As
0.3645 0.7702 0.0353 Ru
0.6355 0.2298 0.9647 Ru

---

# 5
TaAgOs (GGA-PBE, relaxed); formation energy from the elements = 0.63 eV per atom; relative energy among the computed polymorphs = 457.0 meV per atom; space group = F-43m, No. 216
1.0
0.0000 3.0934 3.0934
3.0934 0.0000 3.0934
3.0934 3.0934 0.0000
Ta Ag Os
1 1 1
Direct
0.0000 0.0000 0.0000 Ta
0.5000 0.5000 0.5000 Ag
0.7500 0.7500 0.7500 Os

---

# 6
KTe2Au2 (GGA-PBE, relaxed); relative energy among the computed polymorphs = 297.8 meV per atom; space group = P4/mbm, No. 127
1.0
8.6708 0.0000 0.0000
0.0000 8.6708 0.0000
0.0000 0.0000 3.5024
K Te Au
2 4 4
Direct
0.0000 0.0000 0.0000 K
0.5000 0.5000 0.0000 K
0.1567 0.3433 0.0000 Te
0.3433 0.8433 0.0000 Te
0.6567 0.1567 0.0000 Te
0.8433 0.6567 0.0000 Te
0.1503 0.6503 0.5000 Au
0.3497 0.1503 0.5000 Au
0.6503 0.8497 0.5000 Au
0.8497 0.3497 0.5000 Au

---

# 7
K2CdTe (GGA-PBE, relaxed); relative energy among the computed polymorphs = 0.0 meV per atom; space group = Fm-3m, No. 225
1.0
0.0000 4.2098 4.2098
4.2098 0.0000 4.2098
4.2098 4.2098 0.0000
K Cd Te
2 1 1
Direct
0.2500 0.2500 0.2500 K
0.7500 0.7500 0.7500 K
0.0000 0.0000 0.0000 Cd
0.5000 0.5000 0.5000 Te

---

# 8
TcPAu2 (GGA-PBE, relaxed); formation energy from the elements = 0.17 eV per atom; space group = Immm, No. 71
1.0
-1.4486 1.8895 6.2261
1.4486 -1.8895 6.2261
1.4486 1.8895 -6.2261
Tc P Au
1 1 2
Direct
0.0000 0.0000 0.0000 Tc
0.5000 0.5000 0.0000 P
0.3158 0.8158 0.5000 Au
0.6842 0.1842 0.5000 Au

---

# 9
Cd3ClO2 (GGA-PBE, relaxed); relative energy among the computed polymorphs = 39.6 meV per atom; space group = Pmmn, No. 59
1.0
4.3533 0.0000 0.0000
0.0000 12.1937 0.0000
0.0000 0.0000 4.4031
Cd Cl O
6 2 4
Direct
0.2500 0.0018 0.2496 Cd
0.2500 0.2500 0.7193 Cd
0.2500 0.4982 0.2496 Cd
0.7500 0.5018 0.7504 Cd
0.7500 0.7500 0.2807 Cd
0.7500 0.9982 0.7504 Cd
0.2500 0.7500 0.7180 Cl
0.7500 0.2500 0.2820 Cl
0.2500 0.0731 0.7506 O
0.2500 0.4269 0.7506 O
0.7500 0.5731 0.2494 O
0.7500 0.9269 0.2494 O

---

# 10
AlFeOs2 (GGA-PBE, relaxed); formation energy from the elements = -0.10 eV per atom; space group = Imm2, No. 44
1.0
-1.4831 2.1008 4.2731
1.4831 -2.1008 4.2731
1.4831 2.1008 -4.2731
Al Fe Os
1 1 2
Direct
0.0000 0.0000 0.0000 Al
0.2362 0.7362 0.5000 Fe
0.4887 0.4887 0.0000 Os
0.7495 0.2495 0.5000 Os

---

# 11
Sm4Te3O4 (GGA-PBE, relaxed); total DFT energy (no corrections) = -6.33 eV/atom; space group = Immm, No. 71
1.0
-1.7832 4.6111 7.5696
1.7832 -4.6111 7.5696
1.7832 4.6111 -7.5696
Sm Te O
4 3 4
Direct
0.1905 0.1905 0.0000 Sm
0.2647 0.5000 0.7647 Sm
0.7353 0.5000 0.2353 Sm
0.8095 0.8095 0.0000 Sm
0.0000 0.0000 0.0000 Te
0.3809 0.8809 0.5000 Te
0.6191 0.1191 0.5000 Te
0.0138 0.3601 0.6537 O
0.2935 0.6399 0.6537 O
0.7065 0.3601 0.3463 O
0.9862 0.6399 0.3463 O

---

# 12
Zr2Tc2Ag (GGA-PBE, relaxed); formation energy from the elements = 0.75 eV per atom; space group = P4/mmm, No. 123
1.0
5.0229 0.0000 0.0000
0.0000 5.0229 0.0000
0.0000 0.0000 4.6088
Zr Tc Ag
2 2 1
Direct
0.0000 0.5000 0.0000 Zr
0.5000 0.0000 0.0000 Zr
0.0000 0.0000 0.0000 Tc
0.0000 0.0000 0.5000 Tc
0.5000 0.5000 0.5000 Ag